Here is a PBEsol-optimized structure of TaCoSb from Alexandria via LeMat-Bulk. Energies are from SCAN.

Output
M_tot ... 0.001 μB/atom
Total DFT energy (no corrections) ... -40.515 eV per atom
DOS at the Fermi energy ... 9.9 states/eV per cell
Uncorrected formation energy ... -0.13 eV per atom

a = 5.8960 Å, b = 5.8960 Å, c = 5.8960 Å
α = 90.00°, β = 90.00°, γ = 90.00°
Last column: nearest neighbours and their distance in Å.
Space group F-43m (No. 216)
One atom of each set of equivalent atoms:
Ta: 0.0000 0.0000 0.0000 (multiplicity 4)  4 Co 2.55
Co: 0.2500 0.2500 0.2500 (multiplicity 4)  4 Ta 2.55, 4 Sb 2.55
Sb: 0.0000 0.0000 0.5000 (multiplicity 4)  4 Co 2.55